Entry 1:
# Ca2AgPb2

A geometry-optimized Ca2AgPb2 structure (GGA-PBE, Alexandria via LeMat-Bulk).

Output
formation energy = 161 meV/atom

Unit cell a=5.249 b=5.249 c=12.891 alpha=90.00 beta=90.00 gamma=90.00
Atoms (fractional coordinates):
Ca 0.000 0.500 0.250
Ca 0.000 0.500 0.750
Ca 0.500 0.000 0.250
Ca 0.500 0.000 0.750
Ag 0.000 0.000 0.000
Ag 0.500 0.500 0.500
Pb 0.000 0.000 0.391
Pb 0.000 0.000 0.609
Pb 0.500 0.500 0.109
Pb 0.500 0.500 0.891

---

Entry 2:
# YMnAs2

A geometry-optimized YMnAs2 structure (GGA-PBE, Alexandria via LeMat-Bulk).

Output
formation energy = -468 meV/atom

Unit cell a=6.205 b=6.996 c=3.667 alpha=90.00 beta=93.67 gamma=90.00
Atoms (fractional coordinates):
Y 0.000 0.000 0.000
Y 0.500 0.500 0.000
Mn 0.000 0.500 0.000
Mn 0.500 0.000 0.000
As 0.250 0.250 0.500
As 0.250 0.750 0.500
As 0.750 0.250 0.500
As 0.750 0.750 0.500

---

Q: Which V values were calculated for the entries above? A: 355.2; 158.8, in Å³ per cell.
Q: Which energy above the lowest structure with this stoichiometry values were calculated for the entries above? A: 582; 231, in meV per atom.
Q: Which magnetic moment values were calculated for the entries above? A: 0.000; 0.979, in μB per atom.